VASP calculation (PBE) on crystalline AcHoGe at its relaxed geometry.

Raw total energy = -11.8 eV/cell

abc: 5.316 5.316 5.316
angles: 60.00 60.00 60.00
Positions (direct):
1 Ho 0.750 0.750 0.750
2 Ac 0.000 0.000 0.000
3 Ge 0.250 0.250 0.250

---

VASP calculation (PBE) on crystalline AcGeIr at its relaxed geometry.

Excess energy over the best structure of this formula in the dataset = 385 meV/atom

abc: 4.792 4.792 4.792
angles: 60.00 60.00 60.00
Positions (direct):
1 Ge 0.250 0.250 0.250
2 Ir 0.000 0.000 0.000
3 Ac 0.750 0.750 0.750